First-principles (PBE) data for an optimized crystal structure of La2SbAu, as listed in the Alexandria database.

Values from the calculation:
ρ: 9.03 g cm⁻³
N(E_F): 6.60 states/eV per cell
calculated volume: 27.4 Å³ per atom
crystal system: cubic
energy: -4.6589 eV/atom
energy relative to the elements, uncorrected: -345 meV per atom

```
data_La2SbAu
_cell_length_a 5.374
_cell_length_b 5.374
_cell_length_c 5.374
_cell_angle_alpha 60.00
_cell_angle_beta 60.00
_cell_angle_gamma 60.00
_symmetry_space_group_name_H-M 'P 1'
_symmetry_Int_Tables_number 1
loop_
_symmetry_equiv_pos_as_xyz
'x,y,z'
loop_
_atom_site_label
_atom_site_fract_x
_atom_site_fract_y
_atom_site_fract_z
La1 0.000 0.000 0.000
Au1 0.500 0.500 0.500
Sb1 0.750 0.750 0.750
La2 0.250 0.250 0.250
```

First-principles (PBE) data for an optimized crystal structure of La2SbAu3, as listed in the Alexandria database.

Values from the calculation:
ρ: 10.72 g cm⁻³
relative energy among the computed polymorphs: 0.00 kcal/mol of atoms
N(E_F): 4.99 states/eV per cell
calculated volume: 25.6 Å³ per atom
crystal system: orthorhombic
energy: -4.8616 eV/atom
energy relative to the elements, uncorrected: -893 meV per atom

```
data_La2SbAu3
_cell_length_a 6.167
_cell_length_b 6.167
_cell_length_c 9.136
_cell_angle_alpha 104.95
_cell_angle_beta 104.95
_cell_angle_gamma 103.64
_symmetry_space_group_name_H-M 'P 1'
_symmetry_Int_Tables_number 1
loop_
_symmetry_equiv_pos_as_xyz
'x,y,z'
loop_
_atom_site_label
_atom_site_fract_x
_atom_site_fract_y
_atom_site_fract_z
Au1 0.835 0.835 0.669
Sb1 0.665 0.665 0.331
Au2 0.167 0.667 0.833
La1 0.765 0.765 0.000
Sb2 0.335 0.335 0.669
La2 0.750 0.250 0.500
Au3 0.165 0.165 0.331
La3 0.235 0.235 0.000
Au4 0.833 0.333 0.167
La4 0.250 0.750 0.500
Au5 0.667 0.167 0.833
Au6 0.333 0.833 0.167
```

First-principles (PBE) data for an optimized crystal structure of La2SbAu, as listed in the Alexandria database.

Values from the calculation:
ρ: 8.67 g cm⁻³
N(E_F): 2.35 states/eV per cell
calculated volume: 28.6 Å³ per atom
crystal system: tetragonal
energy: -5.1595 eV/atom
energy relative to the elements, uncorrected: -846 meV per atom

```
data_La2SbAu
_cell_length_a 6.417
_cell_length_b 6.417
_cell_length_c 6.417
_cell_angle_alpha 138.63
_cell_angle_beta 138.63
_cell_angle_gamma 59.94
_symmetry_space_group_name_H-M 'P 1'
_symmetry_Int_Tables_number 1
loop_
_symmetry_equiv_pos_as_xyz
'x,y,z'
loop_
_atom_site_label
_atom_site_fract_x
_atom_site_fract_y
_atom_site_fract_z
Sb1 0.500 0.500 0.000
La1 0.000 0.000 0.000
Au1 0.750 0.250 0.500
La2 0.250 0.750 0.500
```

First-principles (PBE) data for an optimized crystal structure of LaSb3Au, as listed in the Alexandria database.

Values from the calculation:
ρ: 5.33 g cm⁻³
relative energy among the computed polymorphs: 30.65 kcal/mol of atoms
N(E_F): 4.00 states/eV per cell
calculated volume: 43.7 Å³ per atom
crystal system: cubic
energy: -3.3002 eV/atom
energy relative to the elements, uncorrected: 814 meV per atom

```
data_LaSb3Au
_cell_length_a 6.022
_cell_length_b 6.022
_cell_length_c 6.022
_cell_angle_alpha 90.00
_cell_angle_beta 90.00
_cell_angle_gamma 90.00
_symmetry_space_group_name_H-M 'P 1'
_symmetry_Int_Tables_number 1
loop_
_symmetry_equiv_pos_as_xyz
'x,y,z'
loop_
_atom_site_label
_atom_site_fract_x
_atom_site_fract_y
_atom_site_fract_z
Sb1 0.000 0.500 0.000
La1 0.000 0.000 0.000
Sb2 0.000 0.000 0.500
Au1 0.500 0.500 0.500
Sb3 0.500 0.000 0.000
```

First-principles (PBE) data for an optimized crystal structure of La2SbAu, as listed in the Alexandria database.

Values from the calculation:
ρ: 8.57 g cm⁻³
N(E_F): 3.24 states/eV per cell
calculated volume: 28.9 Å³ per atom
crystal system: tetragonal
energy: -5.2274 eV/atom
energy relative to the elements, uncorrected: -914 meV per atom

```
data_La2SbAu
_cell_length_a 3.960
_cell_length_b 3.960
_cell_length_c 7.369
_cell_angle_alpha 90.00
_cell_angle_beta 90.00
_cell_angle_gamma 90.00
_symmetry_space_group_name_H-M 'P 1'
_symmetry_Int_Tables_number 1
loop_
_symmetry_equiv_pos_as_xyz
'x,y,z'
loop_
_atom_site_label
_atom_site_fract_x
_atom_site_fract_y
_atom_site_fract_z
La1 0.000 0.000 0.248
Sb1 0.500 0.500 0.500
La2 0.000 0.000 0.752
Au1 0.500 0.500 0.000
```

First-principles (PBE) data for an optimized crystal structure of La3SbAu, as listed in the Alexandria database.

Values from the calculation:
ρ: 6.44 g cm⁻³
N(E_F): 5.31 states/eV per cell
calculated volume: 37.9 Å³ per atom
crystal system: cubic
energy: -4.8152 eV/atom
energy relative to the elements, uncorrected: -379 meV per atom

```
data_La3SbAu
_cell_length_a 5.745
_cell_length_b 5.745
_cell_length_c 5.745
_cell_angle_alpha 90.00
_cell_angle_beta 90.00
_cell_angle_gamma 90.00
_symmetry_space_group_name_H-M 'P 1'
_symmetry_Int_Tables_number 1
loop_
_symmetry_equiv_pos_as_xyz
'x,y,z'
loop_
_atom_site_label
_atom_site_fract_x
_atom_site_fract_y
_atom_site_fract_z
La1 0.000 0.500 0.000
La2 0.500 0.000 0.000
La3 0.000 0.000 0.500
Au1 0.000 0.000 0.000
Sb1 0.500 0.500 0.500
```

First-principles (PBE) data for an optimized crystal structure of LaSb3Au, as listed in the Alexandria database.

Values from the calculation:
ρ: 8.51 g cm⁻³
relative energy among the computed polymorphs: 0.00 kcal/mol of atoms
N(E_F): 8.52 states/eV per cell
calculated volume: 27.4 Å³ per atom
crystal system: orthorhombic
energy: -4.6294 eV/atom
energy relative to the elements, uncorrected: -515 meV per atom

```
data_LaSb3Au
_cell_length_a 6.491
_cell_length_b 6.411
_cell_length_c 13.153
_cell_angle_alpha 90.00
_cell_angle_beta 90.00
_cell_angle_gamma 90.00
_symmetry_space_group_name_H-M 'P 1'
_symmetry_Int_Tables_number 1
loop_
_symmetry_equiv_pos_as_xyz
'x,y,z'
loop_
_atom_site_label
_atom_site_fract_x
_atom_site_fract_y
_atom_site_fract_z
La1 0.750 0.003 0.310
La2 0.750 0.503 0.690
Sb1 0.250 0.661 0.060
Au1 0.500 0.250 0.112
La3 0.250 0.497 0.310
Au2 0.500 0.750 0.888
Sb2 0.750 0.839 0.060
Sb3 0.250 0.993 0.241
Au3 0.000 0.250 0.112
La4 0.250 0.997 0.690
Sb4 0.500 0.750 0.501
Sb5 0.250 0.161 0.940
Sb6 0.250 0.493 0.759
Sb7 0.000 0.750 0.501
Sb8 0.000 0.250 0.499
Sb9 0.500 0.250 0.499
Au4 0.000 0.750 0.888
Sb10 0.750 0.007 0.759
Sb11 0.750 0.507 0.241
Sb12 0.750 0.339 0.940
```

First-principles (PBE) data for an optimized crystal structure of La2SbAu, as listed in the Alexandria database.

Values from the calculation:
ρ: 8.56 g cm⁻³
N(E_F): 4.23 states/eV per cell
calculated volume: 28.9 Å³ per atom
crystal system: tetragonal
energy: -5.2347 eV/atom
energy relative to the elements, uncorrected: -921 meV per atom

```
data_La2SbAu
_cell_length_a 8.574
_cell_length_b 5.350
_cell_length_c 4.041
_cell_angle_alpha 89.97
_cell_angle_beta 61.92
_cell_angle_gamma 128.57
_symmetry_space_group_name_H-M 'P 1'
_symmetry_Int_Tables_number 1
loop_
_symmetry_equiv_pos_as_xyz
'x,y,z'
loop_
_atom_site_label
_atom_site_fract_x
_atom_site_fract_y
_atom_site_fract_z
Au1 0.500 0.500 0.000
La1 0.000 0.000 0.000
La2 0.500 0.000 0.500
Sb1 0.000 0.500 0.500
```

First-principles (PBE) data for an optimized crystal structure of La2SbAu2, as listed in the Alexandria database.

Values from the calculation:
ρ: 9.08 g cm⁻³
relative energy among the computed polymorphs: 4.04 kcal/mol of atoms
N(E_F): 8.68 states/eV per cell
calculated volume: 29.0 Å³ per atom
crystal system: tetragonal
energy: -4.8392 eV/atom
energy relative to the elements, uncorrected: -733 meV per atom

```
data_La2SbAu2
_cell_length_a 8.647
_cell_length_b 8.647
_cell_length_c 3.880
_cell_angle_alpha 90.00
_cell_angle_beta 90.00
_cell_angle_gamma 90.00
_symmetry_space_group_name_H-M 'P 1'
_symmetry_Int_Tables_number 1
loop_
_symmetry_equiv_pos_as_xyz
'x,y,z'
loop_
_atom_site_label
_atom_site_fract_x
_atom_site_fract_y
_atom_site_fract_z
Sb1 0.500 0.500 0.000
La1 0.671 0.171 0.000
Sb2 0.000 0.000 0.000
La2 0.171 0.329 0.000
La3 0.329 0.829 0.000
Au1 0.876 0.376 0.500
Au2 0.124 0.624 0.500
La4 0.829 0.671 0.000
Au3 0.624 0.876 0.500
Au4 0.376 0.124 0.500
```

First-principles (PBE) data for an optimized crystal structure of LaSb2TeAu, as listed in the Alexandria database.

Values from the calculation:
ρ: 7.38 g cm⁻³
relative energy among the computed polymorphs: 0.00 kcal/mol of atoms
N(E_F): 3.65 states/eV per cell
calculated volume: 31.8 Å³ per atom
crystal system: tetragonal
energy: -4.0907 eV/atom
energy relative to the elements, uncorrected: -172 meV per atom

```
data_LaSb2TeAu
_cell_length_a 5.359
_cell_length_b 5.359
_cell_length_c 5.537
_cell_angle_alpha 90.00
_cell_angle_beta 90.00
_cell_angle_gamma 90.00
_symmetry_space_group_name_H-M 'P 1'
_symmetry_Int_Tables_number 1
loop_
_symmetry_equiv_pos_as_xyz
'x,y,z'
loop_
_atom_site_label
_atom_site_fract_x
_atom_site_fract_y
_atom_site_fract_z
Au1 0.000 0.000 0.000
Sb1 0.500 0.000 0.000
Sb2 0.000 0.500 0.000
Te1 0.000 0.000 0.500
La1 0.500 0.500 0.500
```

First-principles (PBE) data for an optimized crystal structure of LaSb2TeAu, as listed in the Alexandria database.

Values from the calculation:
ρ: 5.24 g cm⁻³
relative energy among the computed polymorphs: 18.64 kcal/mol of atoms
N(E_F): 6.53 states/eV per cell
calculated volume: 44.8 Å³ per atom
crystal system: tetragonal
energy: -3.2825 eV/atom
energy relative to the elements, uncorrected: 636 meV per atom

```
data_LaSb2TeAu
_cell_length_a 6.116
_cell_length_b 6.116
_cell_length_c 5.994
_cell_angle_alpha 90.00
_cell_angle_beta 90.00
_cell_angle_gamma 90.00
_symmetry_space_group_name_H-M 'P 1'
_symmetry_Int_Tables_number 1
loop_
_symmetry_equiv_pos_as_xyz
'x,y,z'
loop_
_atom_site_label
_atom_site_fract_x
_atom_site_fract_y
_atom_site_fract_z
Au1 0.500 0.500 0.500
Te1 0.000 0.000 0.500
Sb1 0.000 0.500 0.000
La1 0.000 0.000 0.000
Sb2 0.500 0.000 0.000
```

First-principles (PBE) data for an optimized crystal structure of LaTlSbAu, as listed in the Alexandria database.

Values from the calculation:
ρ: 9.72 g cm⁻³
N(E_F): 3.92 states/eV per cell
calculated volume: 28.3 Å³ per atom
crystal system: cubic
energy: -4.1859 eV/atom
energy relative to the elements, uncorrected: -512 meV per atom

```
data_LaTlSbAu
_cell_length_a 5.428
_cell_length_b 5.428
_cell_length_c 5.428
_cell_angle_alpha 60.00
_cell_angle_beta 60.00
_cell_angle_gamma 60.00
_symmetry_space_group_name_H-M 'P 1'
_symmetry_Int_Tables_number 1
loop_
_symmetry_equiv_pos_as_xyz
'x,y,z'
loop_
_atom_site_label
_atom_site_fract_x
_atom_site_fract_y
_atom_site_fract_z
Sb1 0.750 0.750 0.750
Au1 0.250 0.250 0.250
La1 0.500 0.500 0.500
Tl1 0.000 0.000 0.000
```

Copy entry 10 word for word.
First-principles (PBE) data for an optimized crystal structure of LaSb2TeAu, as listed in the Alexandria database.

Values from the calculation:
ρ: 7.38 g cm⁻³
relative energy among the computed polymorphs: 0.00 kcal/mol of atoms
N(E_F): 3.65 states/eV per cell
calculated volume: 31.8 Å³ per atom
crystal system: tetragonal
energy: -4.0907 eV/atom
energy relative to the elements, uncorrected: -172 meV per atom

```
data_LaSb2TeAu
_cell_length_a 5.359
_cell_length_b 5.359
_cell_length_c 5.537
_cell_angle_alpha 90.00
_cell_angle_beta 90.00
_cell_angle_gamma 90.00
_symmetry_space_group_name_H-M 'P 1'
_symmetry_Int_Tables_number 1
loop_
_symmetry_equiv_pos_as_xyz
'x,y,z'
loop_
_atom_site_label
_atom_site_fract_x
_atom_site_fract_y
_atom_site_fract_z
Au1 0.000 0.000 0.000
Sb1 0.500 0.000 0.000
Sb2 0.000 0.500 0.000
Te1 0.000 0.000 0.500
La1 0.500 0.500 0.500
```